# Ac8Ir3Au4Cl, optimized geometry, DFT PBE
# Uncorrected formation energy (eV per atom): -0.8844
data_Ac8Ir3Au4Cl
_space_group_name_H-M_alt 'P 1'
_space_group_IT_number 1
_space_group_name_Hall 'P 1'
_cell_length_a 8.979
_cell_length_b 8.979
_cell_length_c 8.979
_cell_angle_alpha 59.60
_cell_angle_beta 59.60
_cell_angle_gamma 59.60
loop_
_atom_site_label
_atom_site_fract_x
_atom_site_fract_y
_atom_site_fract_z
_atom_site_occupancy
Ac1 0.223 0.754 0.754 1
Ac2 0.241 0.241 0.241 1
Ac3 0.246 0.246 0.777 1
Ac4 0.246 0.777 0.246 1
Ac5 0.754 0.223 0.754 1
Ac6 0.754 0.754 0.223 1
Ac7 0.759 0.759 0.759 1
Ac8 0.777 0.246 0.246 1
Ir1 0.000 0.000 0.500 1
Ir2 0.000 0.500 0.000 1
Ir3 0.500 0.000 0.000 1
Au1 0.000 0.000 0.000 1
Au2 0.000 0.500 0.500 1
Au3 0.500 0.000 0.500 1
Au4 0.500 0.500 0.000 1
Cl1 0.500 0.500 0.500 1